1.
Crystalline Sc2NbB6 at its relaxed geometry. Source: OQMD via LeMat-Bulk, functional PBE-GGA.

symmetry	No. 55
crystal system	orthorhombic
E_tot	-7.6686	eV/atom

Unit cell a=9.1841 b=11.3812 c=3.5000 alpha=90.00 beta=90.00 gamma=90.00
Closest atoms and distances in Å follow each position.
Fractional coordinates of all 36 atoms:
Sc (0.0559, 0.1300, 0.0000)  12 B 2.51-2.53
Sc (0.1756, 0.4133, 0.0000)  14 B 2.64-2.83
Sc (0.3244, 0.9133, 0.0000)  14 B 2.64-2.83
Sc (0.4441, 0.6300, 0.0000)  12 B 2.51-2.53
Sc (0.5559, 0.3700, 0.0000)  12 B 2.51-2.53
Sc (0.6756, 0.0867, 0.0000)  14 B 2.64-2.83
Sc (0.8244, 0.5867, 0.0000)  14 B 2.64-2.83
Sc (0.9441, 0.8700, 0.0000)  12 B 2.51-2.53
Nb (0.1438, 0.6804, 0.0000)  10 B 2.35-2.39
Nb (0.3562, 0.1804, 0.0000)  10 B 2.35-2.39
Nb (0.6438, 0.8196, 0.0000)  10 B 2.35-2.39
Nb (0.8562, 0.3196, 0.0000)  10 B 2.35-2.39
B (0.0225, 0.2882, 0.5000)  3 B 1.72-1.89
B (0.0538, 0.5618, 0.5000)  3 B 1.72-1.89
B (0.0942, 0.9742, 0.5000)  3 B 1.76-1.83
B (0.1312, 0.8228, 0.5000)  3 B 1.76-1.89
B (0.2002, 0.2412, 0.5000)  2 B 1.72-1.81
B (0.2411, 0.0748, 0.5000)  3 B 1.77-1.93
B (0.2589, 0.5748, 0.5000)  3 B 1.77-1.93
B (0.2998, 0.7412, 0.5000)  2 B 1.72-1.81
B (0.3688, 0.3228, 0.5000)  3 B 1.76-1.89
B (0.4058, 0.4742, 0.5000)  3 B 1.76-1.83
B (0.4462, 0.0618, 0.5000)  3 B 1.72-1.89
B (0.4775, 0.7882, 0.5000)  3 B 1.72-1.89
B (0.5225, 0.2118, 0.5000)  3 B 1.72-1.89
B (0.5538, 0.9382, 0.5000)  3 B 1.72-1.89
B (0.5942, 0.5258, 0.5000)  3 B 1.76-1.83
B (0.6312, 0.6772, 0.5000)  3 B 1.76-1.89
B (0.7002, 0.2588, 0.5000)  2 B 1.72-1.81
B (0.7411, 0.4252, 0.5000)  3 B 1.77-1.93
B (0.7589, 0.9252, 0.5000)  3 B 1.77-1.93
B (0.7998, 0.7588, 0.5000)  2 B 1.72-1.81
B (0.8688, 0.1772, 0.5000)  3 B 1.76-1.89
B (0.9058, 0.0258, 0.5000)  3 B 1.76-1.83
B (0.9462, 0.4382, 0.5000)  3 B 1.72-1.89
B (0.9775, 0.7118, 0.5000)  3 B 1.72-1.89

---

2.
Crystalline Sc2NbB at its relaxed geometry. Source: OQMD via LeMat-Bulk, functional PBE-GGA.

symmetry	No. 216
crystal system	cubic
E_tot	-6.8417	eV/atom

Unit cell a=4.5005 b=4.5005 c=4.5005 alpha=60.00 beta=60.00 gamma=60.00
Closest atoms and distances in Å follow each position.
Fractional coordinates of all 4 atoms:
Sc (0.0000, 0.0000, 0.0000)  4 Nb 2.76, 4 Sc 2.76
Sc (0.2500, 0.2500, 0.2500)  4 B 2.76, 4 Sc 2.76
Nb (0.7500, 0.7500, 0.7500)  4 B 2.76, 4 Sc 2.76
B (0.5000, 0.5000, 0.5000)  4 Nb 2.76, 4 Sc 2.76

---

3.
Crystalline Nb3SiB at its relaxed geometry. Source: OQMD via LeMat-Bulk, functional PBE-GGA.

symmetry	No. 63
crystal system	orthorhombic
E_tot	-9.0704	eV/atom

Unit cell a=5.4821 b=5.4821 c=8.4874 alpha=90.00 beta=90.00 gamma=143.78
Closest atoms and distances in Å follow each position.
Fractional coordinates of all 10 atoms:
Nb (0.0589, 0.9411, 0.7500)  2 B 2.21
Nb (0.3613, 0.6387, 0.5563)  2 B 2.29
Nb (0.3613, 0.6387, 0.9437)  2 B 2.29
Nb (0.6387, 0.3613, 0.0563)  2 B 2.29
Nb (0.6387, 0.3613, 0.4437)  2 B 2.29
Nb (0.9411, 0.0589, 0.2500)  2 B 2.21
Si (0.2519, 0.7481, 0.2500)  8 Nb 2.61-2.84
Si (0.7481, 0.2519, 0.7500)  8 Nb 2.61-2.84
B (0.0000, 0.0000, 0.0000)  6 Nb 2.21-2.29
B (0.0000, 0.0000, 0.5000)  6 Nb 2.21-2.29

---

4.
Crystalline Nb4SiB3 at its relaxed geometry. Source: OQMD via LeMat-Bulk, functional PBE-GGA.

symmetry	No. 194
crystal system	hexagonal
E_tot	-8.8073	eV/atom

Unit cell a=3.2705 b=3.2705 c=23.2536 alpha=90.00 beta=90.00 gamma=120.00
Closest atoms and distances in Å follow each position.
Fractional coordinates of all 16 atoms:
Nb (0.0000, 0.0000, 0.1687)  3 B 2.26
Nb (0.0000, 0.0000, 0.3313)  3 B 2.26
Nb (0.0000, 0.0000, 0.6687)  3 B 2.26
Nb (0.0000, 0.0000, 0.8313)  3 B 2.26
Nb (0.3333, 0.6667, 0.0565)  6 B 2.30-2.33
Nb (0.3333, 0.6667, 0.4435)  6 B 2.30-2.33
Nb (0.6667, 0.3333, 0.5565)  6 B 2.30-2.33
Nb (0.6667, 0.3333, 0.9435)  6 B 2.30-2.33
Si (0.3333, 0.6667, 0.2500)  6 Nb 2.67
Si (0.6667, 0.3333, 0.7500)  6 Nb 2.67
B (0.0000, 0.0000, 0.0000)  6 Nb 2.30
B (0.0000, 0.0000, 0.5000)  6 Nb 2.30
B (0.3333, 0.6667, 0.6151)  6 Nb 2.26-2.33
B (0.3333, 0.6667, 0.8849)  6 Nb 2.26-2.33
B (0.6667, 0.3333, 0.1151)  6 Nb 2.26-2.33
B (0.6667, 0.3333, 0.3849)  6 Nb 2.26-2.33

---

Number 1: calculated volume 91.5 Å³/f.u.. Number 2: calculated volume 64.5 Å³/f.u.. Number 3: calculated volume 75.4 Å³/f.u.. Number 4: calculated volume 107.7 Å³/f.u..